No. 1
An optimized crystal structure of LaPr4Dy7. Source: Alexandria, functional PBE-GGA.

For the total moment, the calculation gives 0.0 μB/f.u.

It has space group P-1 (No. 2), with a = 7.220 Å, b = 8.079 Å, c = 8.079 Å, α = 72.87°, β = 63.58° and γ = 77.53°. The asymmetric unit holds La at (0.000, 0.000, 0.000), Pr at (0.166, 0.668, 0.335), Pr at (0.417, 0.667, 0.831), Dy at (0.083, 0.333, 0.166), Dy at (0.251, 0.001, 0.498), Dy at (0.334, 0.332, 0.667) and Dy at (0.500, 0.000, 0.000).

No. 2
An optimized crystal structure of La12PrDy3. Source: Alexandria, functional PBE-GGA.

For the total moment, the calculation gives 0.0 μB/f.u.

It has space group P4/mmm (No. 123), with a = 5.219 Å, b = 5.219 Å, c = 20.897 Å, α = 90.00°, β = 90.00° and γ = 90.00°. The asymmetric unit holds La at (0.000, 0.000, 0.000), La at (0.000, 0.000, 0.248), La at (0.000, 0.000, 0.500), La at (0.000, 0.500, 0.124), La at (0.000, 0.500, 0.373), Pr at (0.500, 0.500, 0.500), Dy at (0.500, 0.500, 0.000) and Dy at (0.500, 0.500, 0.248).

No. 3
An optimized crystal structure of La8PrDy3. Source: Alexandria, functional PBE-GGA.

For the total moment, the calculation gives 0.0 μB/f.u.

It has space group Immm (No. 71), with a = 6.839 Å, b = 11.330 Å, c = 11.761 Å, α = 90.00°, β = 90.00° and γ = 90.00°. The asymmetric unit holds La at (0.000, 0.166, 0.248), La at (0.221, 0.277, 0.500), Pr at (0.000, 0.000, 0.500), Dy at (0.000, 0.000, 0.000) and Dy at (0.000, 0.500, 0.276).

No. 4
An optimized crystal structure of La12PrDy6. Source: Alexandria, functional PBE-GGA.

For the total moment, the calculation gives 0.0 μB/f.u.

It has space group R-3 (No. 148, hexagonal axes), with a = 16.0292 Å, b = 16.0292 Å, c = 9.0035 Å, α = 90.00°, β = 90.00° and γ = 120.00°. The asymmetric unit holds La at (0.0168, 0.8759, 0.1650), La at (0.0680, 0.5063, 0.1668), Pr at (0.0000, 0.0000, 0.5000) and Dy at (0.0353, 0.7528, 0.8318).

No. 5
An optimized crystal structure of La5Pr2Dy4. Source: Alexandria, functional PBE-GGA.

For the total moment, the calculation gives 0.0 μB/f.u.

It has space group C2/m (No. 12), with a = 18.329 Å, b = 3.627 Å, c = 12.385 Å, α = 90.00°, β = 107.33° and γ = 90.00°. The asymmetric unit holds La at (0.000, 0.000, 0.000), La at (0.115, 0.500, 0.517), La at (0.166, 0.500, 0.011), Pr at (0.175, 0.000, 0.288), Dy at (0.004, 0.500, 0.750) and Dy at (0.170, 0.000, 0.769).

No. 6
An optimized crystal structure of La6Pr3Dy. Source: Alexandria, functional PBE-GGA.

For the total moment, the calculation gives 0.0 μB/f.u.

It has space group Cmc2_1 (No. 36), with a = 11.020 Å, b = 19.697 Å, c = 6.664 Å, α = 90.00°, β = 90.00° and γ = 90.00°. The asymmetric unit holds La at (0.000, 0.031, 0.000), La at (0.000, 0.281, 0.193), La at (0.174, 0.460, 0.296), La at (0.222, 0.293, 0.482), Pr at (0.000, 0.384, 0.774), Pr at (0.176, 0.119, 0.389) and Dy at (0.000, 0.187, 0.746).

No. 7
An optimized crystal structure of La14PrDy. Source: Alexandria, functional PBE-GGA.

For the total moment, the calculation gives 0.0 μB/f.u.

It has space group Amm2 (No. 38), with a = 11.953 Å, b = 11.674 Å, c = 8.316 Å, α = 90.00°, β = 90.00° and γ = 90.00°. The asymmetric unit holds La at (0.000, 0.000, 0.000), La at (0.000, 0.000, 0.433), La at (0.000, 0.214, 0.733), La at (0.248, 0.214, 0.020), La at (0.251, 0.000, 0.308), La at (0.257, 0.000, 0.741), La at (0.500, 0.224, 0.736), Pr at (0.500, 0.000, 0.455) and Dy at (0.500, 0.000, 0.028).

No. 8
An optimized crystal structure of La3Pr2Dy7. Source: Alexandria, functional PBE-GGA.

For the total moment, the calculation gives 0.0 μB/f.u.

It has space group Cmmm (No. 65), with a = 5.820 Å, b = 38.695 Å, c = 3.641 Å, α = 90.00°, β = 90.00° and γ = 90.00°. The asymmetric unit holds La at (0.000, 0.000, 0.000), La at (0.000, 0.315, 0.500), Pr at (0.000, 0.146, 0.000), Dy at (0.000, 0.072, 0.500), Dy at (0.000, 0.230, 0.000), Dy at (0.000, 0.413, 0.000) and Dy at (0.000, 0.500, 0.500).

No. 9
An optimized crystal structure of La6PrDy4. Source: Alexandria, functional PBE-GGA.

For the total moment, the calculation gives 0.0 μB/f.u.

It has space group Cmcm (No. 63), with a = 5.958 Å, b = 9.877 Å, c = 26.367 Å, α = 90.00°, β = 90.00° and γ = 90.00°. The asymmetric unit holds La at (0.000, 0.000, 0.000), La at (0.000, 0.048, 0.250), La at (0.000, 0.304, 0.597), La at (0.000, 0.373, 0.181), Pr at (0.000, 0.294, 0.750), Dy at (0.000, 0.038, 0.124) and Dy at (0.000, 0.347, 0.045).

No. 10
An optimized crystal structure of La8PrDy2. Source: Alexandria, functional PBE-GGA.

For the total moment, the calculation gives 0.0 μB/f.u.

It has space group C2/m (No. 12), with a = 19.702 Å, b = 7.211 Å, c = 5.806 Å, α = 90.00°, β = 93.04° and γ = 90.00°. The asymmetric unit holds La at (0.044, 0.000, 0.238), La at (0.133, 0.226, 0.735), La at (0.186, 0.500, 0.236), Pr at (0.000, 0.500, 0.000) and Dy at (0.216, 0.000, 0.255).

No. 11
An optimized crystal structure of La2Pr5Dy2. Source: Alexandria, functional PBE-GGA.

For the total moment, the calculation gives 0.0 μB/f.u.

It has space group Ima2 (No. 46), with a = 15.208 Å, b = 12.113 Å, c = 6.977 Å, α = 90.00°, β = 90.00° and γ = 90.00°. The asymmetric unit holds La at (0.126, 0.004, 0.000), Pr at (0.053, 0.750, 0.350), Pr at (0.143, 0.234, 0.683), Pr at (0.250, 0.740, 0.648), Dy at (0.000, 0.000, 0.529) and Dy at (0.250, 0.008, 0.462).

No. 12
An optimized crystal structure of LaPrDy6. Source: Alexandria, functional PBE-GGA.

For the total moment, the calculation gives 0.0 μB/f.u.

It has space group P4/mmm (No. 123), with a = 5.080 Å, b = 5.080 Å, c = 10.162 Å, α = 90.00°, β = 90.00° and γ = 90.00°. The asymmetric unit holds La at (0.000, 0.000, 0.000), Pr at (0.000, 0.000, 0.500), Dy at (0.000, 0.500, 0.251), Dy at (0.500, 0.500, 0.000) and Dy at (0.500, 0.500, 0.500).

No. 13
An optimized crystal structure of LaPrDy2. Source: Alexandria, functional PBE-GGA.

For the total moment, the calculation gives 0.0 μB/f.u.

It has space group P4/mmm (No. 123), with a = 5.190 Å, b = 5.190 Å, c = 5.042 Å, α = 90.00°, β = 90.00° and γ = 90.00°. The asymmetric unit holds La at (0.000, 0.000, 0.000), Pr at (0.500, 0.500, 0.000) and Dy at (0.000, 0.500, 0.500).

No. 14
An optimized crystal structure of La8Pr2Dy. Source: Alexandria, functional PBE-GGA.

For the total moment, the calculation gives 0.0 μB/f.u.

It has space group C2/m (No. 12), with a = 9.319 Å, b = 17.006 Å, c = 6.123 Å, α = 90.00°, β = 124.05° and γ = 90.00°. The asymmetric unit holds La at (0.000, 0.204, 0.000), La at (0.080, 0.500, 0.799), La at (0.214, 0.117, 0.683), Pr at (0.000, 0.309, 0.500) and Dy at (0.000, 0.000, 0.000).

No. 15
An optimized crystal structure of La5PrDy. Source: Alexandria, functional PBE-GGA.

For the total moment, the calculation gives 0.0 μB/f.u.

It has space group C2/c (No. 15), with a = 12.148 Å, b = 7.042 Å, c = 12.840 Å, α = 90.00°, β = 112.95° and γ = 90.00°. The asymmetric unit holds La at (0.000, 0.093, 0.250), La at (0.077, 0.233, 0.000), La at (0.222, 0.121, 0.752), Pr at (0.000, 0.464, 0.750) and Dy at (0.250, 0.250, 0.500).

No. 16
An optimized crystal structure of LaPr5Dy. Source: Alexandria, functional PBE-GGA.

For the total moment, the calculation gives 0.1 μB/f.u.

It has space group Immm (No. 71), with a = 5.940 Å, b = 8.862 Å, c = 12.195 Å, α = 90.00°, β = 90.00° and γ = 90.00°. The asymmetric unit holds La at (0.000, 0.000, 0.000), Pr at (0.000, 0.000, 0.250), Pr at (0.000, 0.323, 0.000), Pr at (0.000, 0.500, 0.500) and Dy at (0.000, 0.000, 0.500).

No. 17
An optimized crystal structure of La3Pr4Dy4. Source: Alexandria, functional PBE-GGA.

For the total moment, the calculation gives 0.0 μB/f.u.

It has space group C2/m (No. 12), with a = 22.722 Å, b = 9.591 Å, c = 3.662 Å, α = 90.00°, β = 99.25° and γ = 90.00°. The asymmetric unit holds La at (0.000, 0.000, 0.000), La at (0.109, 0.500, 0.108), Pr at (0.147, 0.179, 0.646), Dy at (0.000, 0.319, 0.500) and Dy at (0.241, 0.500, 0.743).

No. 18
An optimized crystal structure of LaPr4Dy7. Source: Alexandria, functional PBE-GGA.

For the total moment, the calculation gives 0.0 μB/f.u.

It has space group C2/m (No. 12), with a = 12.238 Å, b = 5.983 Å, c = 12.900 Å, α = 90.00°, β = 117.93° and γ = 90.00°. The asymmetric unit holds La at (0.000, 0.000, 0.000), Pr at (0.133, 0.500, 0.777), Pr at (0.232, 0.000, 0.672), Dy at (0.000, 0.500, 0.000), Dy at (0.066, 0.000, 0.322), Dy at (0.133, 0.500, 0.498) and Dy at (0.210, 0.000, 0.923).

No. 19
An optimized crystal structure of La5Pr2Dy5. Source: Alexandria, functional PBE-GGA.

For the total moment, the calculation gives 0.0 μB/f.u.

It has space group C2/m (No. 12), with a = 15.589 Å, b = 5.158 Å, c = 11.558 Å, α = 90.00°, β = 116.83° and γ = 90.00°. The asymmetric unit holds La at (0.000, 0.000, 0.000), La at (0.082, 0.000, 0.752), La at (0.249, 0.000, 0.248), Pr at (0.165, 0.000, 0.499), Dy at (0.000, 0.500, 0.500), Dy at (0.083, 0.500, 0.250) and Dy at (0.167, 0.500, 0.000).

No. 20
An optimized crystal structure of LaPr2Dy3. Source: Alexandria, functional PBE-GGA.

For the total moment, the calculation gives 0.0 μB/f.u.

It has space group C2/m (No. 12), with a = 15.431 Å, b = 5.151 Å, c = 11.489 Å, α = 90.00°, β = 116.60° and γ = 90.00°. The asymmetric unit holds La at (0.126, 0.000, 0.130), Pr at (0.041, 0.500, 0.871), Pr at (0.206, 0.000, 0.869), Dy at (0.043, 0.000, 0.381), Dy at (0.123, 0.500, 0.618) and Dy at (0.211, 0.500, 0.382).

| no. | formation energy (eV per atom) | volume (Å³/cell) |
| --- | --- | --- |
| 1 | 0.0184 | 401.3 |
| 2 | 0.0080 | 569.3 |
| 3 | 0.3113 | 911.4 |
| 4 | 0.0229 | 2003.4 |
| 5 | 0.1332 | 786.1 |
| 6 | 0.1096 | 1446.6 |
| 7 | 0.0780 | 1160.5 |
| 8 | 0.1186 | 819.9 |
| 9 | 0.0993 | 1551.7 |
| 10 | 0.1344 | 823.7 |
| 11 | 0.1867 | 1285.3 |
| 12 | 0.0262 | 262.2 |
| 13 | 0.0216 | 135.8 |
| 14 | 0.1177 | 804.0 |
| 15 | 0.1286 | 1011.4 |
| 16 | 0.9249 | 641.9 |
| 17 | 0.1302 | 787.8 |
| 18 | 0.2438 | 834.5 |
| 19 | 0.0242 | 829.3 |
| 20 | 0.0237 | 816.6 |